Dy7Y6Ho16, relaxed, DFT PBE-GGA; uncorrected energy = -4.738 eV/atom; space-group type = No. 225; energy of formation from the pure elements = 6.83 eV per formula unit; total magnetization = 0.109 μB per atom
1.0
-5.144 9.637 1.738
1.935 5.709 9.274
5.703 9.468 -0.422
Ho Y Dy
16 6 7
direct
0.960 0.347 0.347
0.123 0.123 0.632
0.040 0.653 0.653
0.877 0.877 0.877
0.653 0.040 0.653
0.347 0.347 0.347
0.653 0.653 0.040
0.347 0.347 0.960
0.368 0.877 0.877
0.877 0.877 0.368
0.347 0.960 0.347
0.123 0.632 0.123
0.632 0.123 0.123
0.123 0.123 0.123
0.877 0.368 0.877
0.653 0.653 0.653
0.718 0.282 0.282
0.282 0.282 0.718
0.282 0.718 0.718
0.718 0.718 0.282
0.718 0.282 0.718
0.282 0.718 0.282
0.000 0.000 0.000
0.500 0.000 0.500
0.000 0.000 0.500
0.000 0.500 0.000
0.000 0.500 0.500
0.500 0.500 0.000
0.500 0.000 0.000